Entry from Alexandria via LeMat-Bulk: a geometry-optimized NdAsO2 structure (GGA-PBE).

Values from the calculation:
Formation energy (no corrections) in meV per atom: -1624
Crystal system: tetragonal
Energy above the most stable polymorph in this dataset in eV per formula unit: 0.000
Calculated volume in Å³ per cell: 261.4

a = 7.596 Å, b = 7.596 Å, c = 7.596 Å
α = 128.46°, β = 128.46°, γ = 75.88°
Sites, in units of the cell vectors:
Nd: 0.000 0.000 0.000
Nd: 0.000 0.000 0.500
Nd: 0.000 0.500 0.000
Nd: 0.500 0.000 0.500
As: 0.000 0.500 0.500
As: 0.500 0.000 0.000
As: 0.500 0.500 0.000
As: 0.500 0.500 0.500
O: 0.204 0.210 0.507
O: 0.204 0.697 0.993
O: 0.210 0.204 0.007
O: 0.303 0.796 0.507
O: 0.697 0.204 0.493
O: 0.790 0.796 0.993
O: 0.796 0.303 0.007
O: 0.796 0.790 0.493

***

Entry from Alexandria via LeMat-Bulk: a geometry-optimized K2SiAu structure (GGA-PBE).

Values from the calculation:
Formation energy (no corrections) in meV per atom: -157
Crystal system: orthorhombic
Calculated volume in Å³ per cell: 274.2

a = 4.486 Å, b = 5.440 Å, c = 11.236 Å
α = 90.00°, β = 90.00°, γ = 90.00°
Sites, in units of the cell vectors:
K: 0.000 0.000 0.000
K: 0.000 0.500 0.500
K: 0.500 0.000 0.306
K: 0.500 0.500 0.806
Si: 0.000 0.000 0.687
Si: 0.000 0.500 0.187
Au: 0.500 0.000 0.616
Au: 0.500 0.500 0.116

***

Entry from Alexandria via LeMat-Bulk: a geometry-optimized Sr2LiCuN structure (GGA-PBE).

Values from the calculation:
Formation energy (no corrections) in meV per atom: -140
Crystal system: tetragonal
Energy above the most stable polymorph in this dataset in eV per formula unit: 0.506
Calculated volume in Å³ per cell: 114.2

a = 5.468 Å, b = 5.468 Å, c = 3.819 Å
α = 90.00°, β = 90.00°, γ = 90.00°
Sites, in units of the cell vectors:
Sr: 0.000 0.500 0.000
Sr: 0.500 0.000 0.000
Li: 0.000 0.000 0.500
Cu: 0.500 0.500 0.500
N: 0.500 0.500 0.000

***

Entry from Alexandria via LeMat-Bulk: a geometry-optimized Y2GaMo structure (GGA-PBE).

Values from the calculation:
ΔE_f in eV per formula unit: 2.6
Crystal system: tetragonal
Calculated volume in Å³ per cell: 372.8

a = 4.261 Å, b = 4.261 Å, c = 20.533 Å
α = 90.00°, β = 90.00°, γ = 90.00°
Sites, in units of the cell vectors:
Y: 0.244 0.250 0.125
Y: 0.250 0.744 0.375
Y: 0.250 0.756 0.875
Y: 0.256 0.250 0.625
Y: 0.744 0.750 0.625
Y: 0.750 0.244 0.875
Y: 0.750 0.256 0.375
Y: 0.756 0.750 0.125
Ga: 0.000 0.000 0.500
Ga: 0.000 0.500 0.750
Ga: 0.500 0.000 0.250
Ga: 0.500 0.500 0.000
Mo: 0.000 0.000 0.000
Mo: 0.000 0.500 0.250
Mo: 0.500 0.000 0.750
Mo: 0.500 0.500 0.500

***

Entry from Alexandria via LeMat-Bulk: a geometry-optimized AcPr12Ho6 structure (GGA-PBE).

Values from the calculation:
ΔE_f in eV per formula unit: 3.5
Crystal system: trigonal
Calculated volume in Å³ per cell: 687.1

a = 8.963 Å, b = 8.963 Å, c = 8.963 Å
α = 99.43°, β = 99.43°, γ = 99.43°
Sites, in units of the cell vectors:
Ac: 0.000 0.000 0.000
Pr: 0.080 0.353 0.353
Pr: 0.241 0.500 0.759
Pr: 0.241 0.759 0.500
Pr: 0.353 0.080 0.353
Pr: 0.353 0.353 0.080
Pr: 0.500 0.241 0.759
Pr: 0.500 0.759 0.241
Pr: 0.647 0.647 0.920
Pr: 0.647 0.920 0.647
Pr: 0.759 0.241 0.500
Pr: 0.759 0.500 0.241
Pr: 0.920 0.647 0.647
Ho: 0.102 0.102 0.659
Ho: 0.102 0.659 0.102
Ho: 0.341 0.898 0.898
Ho: 0.659 0.102 0.102
Ho: 0.898 0.341 0.898
Ho: 0.898 0.898 0.341

***

Entry from Alexandria via LeMat-Bulk: a geometry-optimized Dy6CuPd2 structure (GGA-PBE).

Values from the calculation:
ΔE_f in eV per formula unit: -3.5
Crystal system: monoclinic
Energy above the most stable polymorph in this dataset in eV per formula unit: 0.443
Calculated volume in Å³ per cell: 475.5

a = 6.639 Å, b = 7.192 Å, c = 11.829 Å
α = 90.00°, β = 122.65°, γ = 90.00°
Sites, in units of the cell vectors:
Dy: 0.082 0.036 0.244
Dy: 0.082 0.464 0.744
Dy: 0.216 0.683 0.068
Dy: 0.216 0.817 0.568
Dy: 0.386 0.169 0.068
Dy: 0.386 0.331 0.568
Dy: 0.614 0.669 0.432
Dy: 0.614 0.831 0.932
Dy: 0.784 0.183 0.432
Dy: 0.784 0.317 0.932
Dy: 0.918 0.536 0.256
Dy: 0.918 0.964 0.756
Cu: 0.500 0.000 0.500
Cu: 0.500 0.500 0.000
Pd: 0.314 0.122 0.750
Pd: 0.314 0.378 0.250
Pd: 0.686 0.622 0.750
Pd: 0.686 0.878 0.250